Record 1
# Li3Rh PBE-GGA optimized geometry
# Energy of formation = -1.36 kcal/mol of atoms
data_Li3Rh
_symmetry_space_group_name_H-M 'P 63/m m c'
_symmetry_Int_Tables_number 194
_symmetry_space_group_name_Hall '-P 6c 2c'
_cell_length_a 5.3277
_cell_length_b 5.3277
_cell_length_c 4.4688
_cell_angle_alpha 90.00
_cell_angle_beta 90.00
_cell_angle_gamma 120.00
loop_
_atom_site_label
_atom_site_type_symbol
_atom_site_fract_x
_atom_site_fract_y
_atom_site_fract_z
Li1 Li 0.1747 0.3493 0.2500
Rh1 Rh 0.3333 0.6667 0.7500

Record 2
# ReIN2F PBE-GGA optimized geometry
# Formation energy from raw total energies = 0.46 eV/atom
data_ReIN2F
_symmetry_space_group_name_H-M 'P 4/m m m'
_symmetry_Int_Tables_number 123
_symmetry_space_group_name_Hall '-P 4 2'
_cell_length_a 3.995
_cell_length_b 3.995
_cell_length_c 4.309
_cell_angle_alpha 90.00
_cell_angle_beta 90.00
_cell_angle_gamma 90.00
loop_
_atom_site_label
_atom_site_type_symbol
_atom_site_fract_x
_atom_site_fract_y
_atom_site_fract_z
Re1 Re 0.000 0.000 0.000
I1 I 0.500 0.500 0.500
N1 N 0.000 0.500 0.000
F1 F 0.000 0.000 0.500

Record 3
# RbCd2FeBi PBE-GGA optimized geometry
# Energy of formation = 15.12 kcal/mol of atoms
data_RbCd2FeBi
_symmetry_space_group_name_H-M 'P 4/m m m'
_symmetry_Int_Tables_number 123
_symmetry_space_group_name_Hall '-P 4 2'
_cell_length_a 5.213
_cell_length_b 5.213
_cell_length_c 5.743
_cell_angle_alpha 90.00
_cell_angle_beta 90.00
_cell_angle_gamma 90.00
loop_
_atom_site_label
_atom_site_type_symbol
_atom_site_fract_x
_atom_site_fract_y
_atom_site_fract_z
Rb1 Rb 0.000 0.000 0.000
Cd1 Cd 0.000 0.500 0.500
Fe1 Fe 0.000 0.000 0.500
Bi1 Bi 0.500 0.500 0.000

Record 4
# PmGeSe4 PBE-GGA optimized geometry
# Formation energy from raw total energies = -0.80 eV/atom
data_PmGeSe4
_symmetry_space_group_name_H-M 'P 4/n b m'
_symmetry_Int_Tables_number 125
_cell_length_a 7.277
_cell_length_b 7.277
_cell_length_c 5.907
_cell_angle_alpha 90.00
_cell_angle_beta 90.00
_cell_angle_gamma 90.00
loop_
_symmetry_equiv_pos_as_xyz
'x,y,z'
'-x,-y,-z'
'-y+1/2,x,z'
'y+1/2,-x,-z'
'-x+1/2,-y+1/2,z'
'x+1/2,y+1/2,-z'
'y,-x+1/2,z'
'-y,x+1/2,-z'
'x,-y+1/2,-z'
'-x,y+1/2,z'
'-y+1/2,-x+1/2,-z'
'y+1/2,x+1/2,z'
'-x+1/2,y,-z'
'x+1/2,-y,z'
'y,x,-z'
'-y,-x,z'
loop_
_atom_site_label
_atom_site_type_symbol
_atom_site_fract_x
_atom_site_fract_y
_atom_site_fract_z
Pm1 Pm 0.250 0.250 0.000
Ge1 Ge 0.250 0.750 0.500
Se1 Se 0.063 0.563 0.253

Record 5
# LiBeW2 PBE-GGA optimized geometry
# Energy of formation = 8.76 kcal/mol of atoms
data_LiBeW2
_symmetry_space_group_name_H-M 'C m m m'
_symmetry_Int_Tables_number 65
_symmetry_space_group_name_Hall '-C 2 2'
_cell_length_a 3.501
_cell_length_b 4.028
_cell_length_c 7.973
_cell_angle_alpha 90.00
_cell_angle_beta 90.00
_cell_angle_gamma 90.00
loop_
_atom_site_label
_atom_site_type_symbol
_atom_site_fract_x
_atom_site_fract_y
_atom_site_fract_z
Li1 Li 0.000 0.000 0.000
Be1 Be 0.000 0.000 0.500
W1 W 0.000 0.500 0.290

Record 6
# LaMn2ReAu PBE-GGA optimized geometry
# Energy of formation = 45.80 kcal/mol of atoms
data_LaMn2ReAu
_symmetry_space_group_name_H-M 'P 4/m m m'
_symmetry_Int_Tables_number 123
_symmetry_space_group_name_Hall '-P 4 2'
_cell_length_a 4.672
_cell_length_b 4.672
_cell_length_c 4.856
_cell_angle_alpha 90.00
_cell_angle_beta 90.00
_cell_angle_gamma 90.00
loop_
_atom_site_label
_atom_site_type_symbol
_atom_site_fract_x
_atom_site_fract_y
_atom_site_fract_z
La1 La 0.000 0.000 0.000
Mn1 Mn 0.000 0.500 0.000
Re1 Re 0.000 0.000 0.500
Au1 Au 0.500 0.500 0.500

Record 7
# Hg2AsC PBE-GGA optimized geometry
# Energy of formation = 38.31 kcal/mol of atoms
data_Hg2AsC
_symmetry_space_group_name_H-M 'F m -3 m'
_symmetry_Int_Tables_number 225
_symmetry_space_group_name_Hall '-F 4 2 3'
_cell_length_a 6.710
_cell_length_b 6.710
_cell_length_c 6.710
_cell_angle_alpha 90.00
_cell_angle_beta 90.00
_cell_angle_gamma 90.00
loop_
_atom_site_label
_atom_site_type_symbol
_atom_site_fract_x
_atom_site_fract_y
_atom_site_fract_z
Hg1 Hg 0.250 0.250 0.250
As1 As 0.000 0.000 0.000
C1 C 0.000 0.000 0.500

Record 8
# Zr2NbGa2Ru5 PBE-GGA optimized geometry
# Energy of formation = -8.97 kcal/mol of atoms
data_Zr2NbGa2Ru5
_symmetry_space_group_name_H-M 'P 4/m b m'
_symmetry_Int_Tables_number 127
_symmetry_space_group_name_Hall '-P 4 2ab'
_cell_length_a 9.889
_cell_length_b 9.889
_cell_length_c 3.343
_cell_angle_alpha 90.00
_cell_angle_beta 90.00
_cell_angle_gamma 90.00
loop_
_atom_site_label
_atom_site_type_symbol
_atom_site_fract_x
_atom_site_fract_y
_atom_site_fract_z
Zr1 Zr 0.170 0.330 0.000
Nb1 Nb 0.000 0.000 0.000
Ga1 Ga 0.129 0.629 0.000
Ru1 Ru 0.000 0.500 0.500
Ru2 Ru 0.061 0.798 0.500